A PBEsol-optimized structure of Li2CaTcCl. Source: the Alexandria database, functional SCAN.

## Properties
Raw formation energy (eV per formula unit): 5.30
Size of the total moment (μB/cell): 2.233

Cell: 5.7133 5.7133 4.7615 Å, 90.00 90.00 90.00°
Closest atoms and distances in Å follow each position.
Space group P4/mmm (No. 123)
Unique sites:
Li 0.0000 0.5000 0.0000  2 Ca 2.86
Ca 0.0000 0.0000 0.0000  2 Tc 2.38
Tc 0.0000 0.0000 0.5000  2 Ca 2.38
Cl 0.5000 0.5000 0.5000  8 Li 3.72, 4 Tc 4.04

---

A PBEsol-optimized structure of CaMgCl2. Source: the Alexandria database, functional SCAN.

## Properties
Raw formation energy (eV per formula unit): -5.41
Excess energy over the best structure of this formula in the dataset (meV/atom): 302
Size of the total moment (μB/cell): 0.000

Cell: 3.7527 3.7527 28.4173 Å, 90.00 90.00 120.00°
Closest atoms and distances in Å follow each position.
Space group R-3m (No. 166, hexagonal axes)
Unique sites:
Ca 0.0000 0.0000 0.0000  2 Cl 3.40, 6 Ca 3.75
Mg 0.0000 0.0000 0.5000  6 Cl 2.55
Cl 0.0000 0.0000 0.1196  3 Mg 2.55

---

A PBEsol-optimized structure of CaMgCl2. Source: the Alexandria database, functional SCAN.

## Properties
Raw formation energy (eV per formula unit): -5.06
Excess energy over the best structure of this formula in the dataset (meV/atom): 391
Size of the total moment (μB/cell): 0.000

Cell: 3.6610 4.2394 6.1877 Å, 90.00 90.00 90.00°
Closest atoms and distances in Å follow each position.
Space group Pmmm (No. 47)
Unique sites:
Ca 0.0000 0.0000 0.0000  4 Cl 2.80
Mg 0.5000 0.0000 0.5000  4 Cl 2.80
Cl 0.0000 0.5000 0.5000  4 Mg 2.80
Cl 0.5000 0.5000 0.0000  4 Ca 2.80

---

A PBEsol-optimized structure of CaMgCl2. Source: the Alexandria database, functional SCAN.

## Properties
Raw formation energy (eV per formula unit): -6.62
Excess energy over the best structure of this formula in the dataset (meV/atom): 0
Size of the total moment (μB/cell): 0.002

Cell: 3.8884 3.8884 29.2649 Å, 90.00 90.00 120.00°
Closest atoms and distances in Å follow each position.
Space group R-3m (No. 166, hexagonal axes)
Unique sites:
Ca 0.0000 0.0000 0.0000  6 Cl 2.69
Mg 0.0000 0.0000 0.5000  6 Mg 3.89, 6 Cl 4.07
Cl 0.0000 0.0000 0.2826  3 Ca 2.69

---

- What is the raw formation energy in the third record?
  -5.06 eV per formula unit

---

- Which of these has the lowest raw formation energy?
  number 4

---

- size of the total moment of number 3 (CaMgCl2)?
  0.000 μB/cell

---

- What is the size of the total moment in the second record?
  0.000 μB/cell